# Ti2HAu | Alexandria via LeMat-Bulk | PBE-GGA | optimized geometry
data_Ti2HAu
_chemical_formula_sum 'Ti2 H1 Au1'
_cell_length_a 3.040
_cell_length_b 3.040
_cell_length_c 6.916
_cell_angle_alpha 77.30
_cell_angle_beta 77.30
_cell_angle_gamma 60.00
_symmetry_space_group_name_H-M 'P 1'
_symmetry_Int_Tables_number 1
_symmetry_space_group_name_Hall 'P 1'
loop_
_atom_site_label
_atom_site_fract_x
_atom_site_fract_y
_atom_site_fract_z
Au1 0.501 0.501 0.498
Ti1 0.277 0.277 0.170
Ti2 0.056 0.056 0.833
H1 0.667 0.667 0.999
# - SG = No. 160

---

# Ti2HAu | Alexandria via LeMat-Bulk | PBE-GGA | optimized geometry
data_Ti2HAu
_chemical_formula_sum 'Ti4 H2 Au2'
_cell_length_a 4.779
_cell_length_b 4.779
_cell_length_c 6.262
_cell_angle_alpha 67.57
_cell_angle_beta 67.57
_cell_angle_gamma 90.00
_symmetry_space_group_name_H-M 'P 1'
_symmetry_Int_Tables_number 1
_symmetry_space_group_name_Hall 'P 1'
loop_
_atom_site_label
_atom_site_fract_x
_atom_site_fract_y
_atom_site_fract_z
Ti1 0.375 0.560 0.750
Ti2 0.875 0.690 0.750
Ti3 0.440 0.125 0.250
Ti4 0.310 0.625 0.250
Au1 0.000 0.000 0.000
Au2 0.750 0.250 0.500
H1 0.250 0.750 0.500
H2 0.500 0.500 0.000
# - SG = No. 122

---

# Ti3HAu | Alexandria via LeMat-Bulk | PBE-GGA | optimized geometry
data_Ti3HAu
_chemical_formula_sum 'Ti6 H2 Au2'
_cell_length_a 4.808
_cell_length_b 5.248
_cell_length_c 5.473
_cell_angle_alpha 90.00
_cell_angle_beta 90.00
_cell_angle_gamma 90.00
_symmetry_space_group_name_H-M 'P 1'
_symmetry_Int_Tables_number 1
_symmetry_space_group_name_Hall 'P 1'
loop_
_atom_site_label
_atom_site_fract_x
_atom_site_fract_y
_atom_site_fract_z
Ti1 0.937 0.542 0.949
Ti2 0.426 0.290 0.201
Ti3 0.926 0.063 0.701
Ti4 0.937 0.542 0.452
Ti5 0.437 0.810 0.450
Ti6 0.437 0.810 0.952
Au1 0.936 0.026 0.201
Au2 0.436 0.327 0.701
H1 0.141 0.759 0.701
H2 0.641 0.594 0.201
# - SG = No. 31

---

Quick rundown of energy above the lowest structure with this stoichiometry, same order as above: 0.0; 281.7; 42.4 meV/atom